## Cs2LaHoS4 (PBE)

Data for a relaxed Cs2LaHoS4 crystal.

Unit cell a=4.220 b=7.313 c=8.427 alpha=106.77 beta=90.00 gamma=90.00
Element x y z (fractional)
Cs 0.500 0.000 0.500
Cs 0.000 0.500 0.500
S 0.000 0.741 0.185
S 0.500 0.784 0.818
S 0.000 0.259 0.815
S 0.500 0.216 0.182
Ho 0.000 0.000 0.000
La 0.500 0.500 0.000

Properties
Formation energy without anion corrections   -1.850 eV per atom
Final energy   -5.315 eV/atom
Symmetry   P2/m (10)
N(E_F)   0.0 states/eV/f.u.
Magnetic moment   0.0 Bohr magnetons per cell